1.
## ScMn2Cr (PBE)

Data for an optimized crystal structure of ScMn2Cr.

Cell lengths 6.7747, 6.7747, 5.4252 Å; angles 90.00, 90.00, 90.00 degrees
Space group I-42d (No. 122)
Asymmetric unit:
Sc 0.0000 0.0000 0.0000 x4
Mn 0.2011 0.2500 0.6250 x8
Cr 0.0000 0.0000 0.5000 x4

VASP energy, eV per formula unit: -32.6
Crystal system: tetragonal
Calculated formation energy, kJ per mole of atoms: 40.9
Energy relative to the lowest polymorph listed for this composition, eV per atom: 0.365

---

2.
## Tb2BeSi3Ir4 (PBE)

Data for an optimized crystal structure of Tb2BeSi3Ir4.

Cell lengths 4.1076, 4.1076, 9.7852 Å; angles 90.00, 90.00, 90.00 degrees
Space group P-4m2 (No. 115)
Asymmetric unit:
Tb 0.0000 0.5000 0.2434 x2
Be 0.5000 0.5000 0.0000 x1
Si 0.0000 0.0000 0.0000 x1
Si 0.0000 0.5000 0.6330 x2
Ir 0.0000 0.0000 0.5000 x1
Ir 0.0000 0.5000 0.8759 x2
Ir 0.5000 0.5000 0.5000 x1

VASP energy, eV per formula unit: -74.5
Crystal system: tetragonal
Formation energy from raw total energies, eV/f.u.: -9.8